Material: GeTe2O
Method: DFT, PBE-GGA
State: optimized geometry

Lattice parameters (Å, degrees): 7.7905 7.7905 7.7905 30.64 30.64 30.64
Last column: nearest neighbours and their distance in Å.
Fractional coordinates of all 4 atoms:
Te: 0.9089 0.9089 0.9089  1 O 2.03
Te: 0.0911 0.0911 0.0911  1 O 2.03
Ge: 0.5000 0.5000 0.5000  6 Te 2.91
O: 0.0000 0.0000 0.0000  2 Te 2.03

Calculated values
**DOS(E_F)**: 0.411 states/eV per atom
**Excess energy over the best structure of this formula in the dataset**: 0.0 kJ/mol of atoms
**Raw formation energy**: -0.01 eV per atom
**SG**: No. 166



Material: Ge2TeO
Method: DFT, PBE-GGA
State: optimized geometry

Lattice parameters (Å, degrees): 4.7282 4.7282 4.7282 60.00 60.00 60.00
Last column: nearest neighbours and their distance in Å.
Fractional coordinates of all 4 atoms:
O: 0.0000 0.0000 0.0000  8 Ge 2.90
Ge: 0.7500 0.7500 0.7500  4 O 2.90, 4 Te 2.90
Ge: 0.2500 0.2500 0.2500  4 O 2.90, 4 Te 2.90
Te: 0.5000 0.5000 0.5000  8 Ge 2.90

Calculated values
**DOS(E_F)**: 0.389 states/eV per atom
**Excess energy over the best structure of this formula in the dataset**: 49.7 kJ/mol of atoms
**Raw formation energy**: 0.26 eV per atom
**SG**: No. 225



Which formula does entry 1 have?
GeTe2O



Look up the raw formation energy of the first one.
-0.01 eV per atom